Here is a relaxed structure of Ca3C from Alexandria via LeMat-Bulk. Energies are from PBE.

Computed properties:
magnetization = 0.00 μB/f.u.
formation enthalpy at 0 K = 869 meV per atom

Unit cell a=6.503 b=6.503 c=9.937 alpha=90.00 beta=90.00 gamma=120.00
Element x y z (fractional)
Ca: 0.000 0.500 0.000
Ca: 0.000 0.500 0.500
Ca: 0.153 0.306 0.250
Ca: 0.153 0.847 0.250
Ca: 0.306 0.153 0.750
Ca: 0.500 0.000 0.000
Ca: 0.500 0.000 0.500
Ca: 0.500 0.500 0.000
Ca: 0.500 0.500 0.500
Ca: 0.694 0.847 0.250
Ca: 0.847 0.153 0.750
Ca: 0.847 0.694 0.750
C: 0.000 0.000 0.000
C: 0.000 0.000 0.500
C: 0.333 0.667 0.750
C: 0.667 0.333 0.250